The following is a DFT calculation (PBE) of a geometry-optimized Na2MgWS structure.

Geometry as POSCAR:
```
Na2MgWS
1.0
-3.921 -1.856 3.694
3.122 -4.252 1.178
2.501 2.988 4.156
Na W S Mg
2 1 1 1
Direct
0.500 0.000 0.000
0.000 0.000 0.500
0.000 0.000 0.000
0.500 0.500 0.500
0.000 0.500 0.000
```

Uncorrected energy (eV per atom): -2.81
Magnetization (μB/atom): 0.954
SG: No. 123
N(E_F) (states/eV/atom): 0.679